Computed, not measured: a relaxed MnIrOF2 crystal at the GGA+U level of DFT.

Calculated values
For the final energy, the calculation gives -5.4967 eV per atom. As for the crystal system: tetragonal. The density comes out at 7.613 Mg/m³.

Cell lengths 4.067, 4.067, 3.971 Å; angles 90.00, 90.00, 90.00 degrees
Space group P4/mmm (No. 123)
One atom of each set of equivalent atoms:
Mn (0.000, 0.000, 0.000)
Ir (0.500, 0.500, 0.500)
O (0.000, 0.000, 0.500)
F (0.000, 0.500, 0.000)